Here is a geometry-optimized GaHg8 structure from Alexandria. Energies are from GGA-PBE.

a b c (Å): 3.7917 8.1041 8.1041
angles (deg): 86.86 76.47 76.47
With the nearest neighbours (Å) after each atom.
Atoms (fractional coordinates):
Ga1 0.0000 0.0000 0.0000  8 Hg 3.19
Hg1 0.6630 0.0000 0.6740  2 Ga 3.19, 6 Hg 3.24-3.33
Hg2 0.3370 0.0000 0.3260  2 Ga 3.19, 6 Hg 3.24-3.33
Hg3 0.3340 0.6660 0.6660  8 Hg 3.23-3.24
Hg4 0.6630 0.6740 0.0000  2 Ga 3.19, 6 Hg 3.24-3.33
Hg5 0.0000 0.6660 0.3340  8 Hg 3.23-3.24
Hg6 0.3370 0.3260 0.0000  2 Ga 3.19, 6 Hg 3.24-3.33
Hg7 0.6660 0.3340 0.3340  8 Hg 3.23-3.24
Hg8 0.0000 0.3340 0.6660  8 Hg 3.23-3.24

Properties
Formation energy from the elements in eV/atom: 0.04
M_tot in μB per cell: 0.000



Here is a geometry-optimized KGaReTc2 structure from Alexandria. Energies are from GGA-PBE.

a b c (Å): 4.7251 6.0015 4.7251
angles (deg): 90.00 90.00 90.00
With the nearest neighbours (Å) after each atom.
Atoms (fractional coordinates):
Re1 0.0000 0.0000 0.0000  4 Tc 2.36
K1 0.0000 0.5000 0.0000  2 Re 3.00, 4 Ga 3.34
Tc1 0.0000 0.0000 0.5000  2 Re 2.36
Tc2 0.5000 0.0000 0.0000  2 Re 2.36
Ga1 0.5000 0.5000 0.5000  4 K 3.34

Properties
Formation energy from the elements in eV/atom: 1.68
M_tot in μB per cell: 1.973



Here is a geometry-optimized K3WS6 structure from Alexandria. Energies are from GGA-PBE.

a b c (Å): 8.2079 7.2607 9.5434
angles (deg): 90.00 110.12 90.00
With the nearest neighbours (Å) after each atom.
Atoms (fractional coordinates):
K1 0.4531 0.9900 0.7027  6 S 3.11-3.45
K2 0.5000 0.5000 0.0000  2 S 2.99
K3 0.5469 0.0100 0.2973  6 S 3.11-3.45
K4 0.9531 0.5100 0.2027  6 S 3.11-3.45
K5 0.0000 0.0000 0.5000  2 S 2.99
K6 0.0469 0.4900 0.7973  6 S 3.11-3.45
W1 0.5000 0.5000 0.5000  6 S 2.31-2.50
W2 0.0000 0.0000 0.0000  6 S 2.31-2.50
S1 0.7771 0.2378 0.8759  1 S 2.14
S2 0.7135 0.2617 0.6395  1 S 2.14
S3 0.6452 0.4736 0.3327  1 W 2.31
S4 0.3548 0.5264 0.6673  1 W 2.31
S5 0.2865 0.7383 0.3605  1 S 2.14
S6 0.2229 0.7622 0.1241  1 S 2.14
S7 0.2771 0.2622 0.3759  1 S 2.14
S8 0.2135 0.2383 0.1395  1 S 2.14
S9 0.1452 0.0264 0.8327  1 W 2.31
S10 0.8548 0.9736 0.1673  1 W 2.31
S11 0.7865 0.7617 0.8605  1 S 2.14
S12 0.7229 0.7378 0.6241  1 S 2.14

Properties
E_form (uncorrected) in eV per formula unit: -6.601
M_tot in μB per cell: 1.298



Here is a geometry-optimized Sc2AuCl structure from Alexandria. Energies are from GGA-PBE.

a b c (Å): 5.1401 5.1401 5.1401
angles (deg): 136.78 113.69 82.50
With the nearest neighbours (Å) after each atom.
Atoms (fractional coordinates):
Au1 0.7500 0.2500 0.5000  4 Sc 2.81
Cl1 0.2500 0.7500 0.5000  4 Sc 2.60
Sc1 0.0195 0.0195 0.0000  2 Cl 2.60, 2 Au 2.81
Sc2 0.4805 0.4805 0.0000  2 Cl 2.60, 2 Au 2.81

Properties
E_form (uncorrected) in eV per formula unit: -2.962
M_tot in μB per cell: 0.000